# KLa3Pm2Te6

An optimized crystal structure of KLa3Pm2Te6 (GGA-PBE, the Alexandria database).

## Properties
Electronic total energy ... -5.16 eV/atom
Density of states at the Fermi level ... 5.4 states/eV per cell
Magnetization ... 0.000 μB per atom
Energy relative to the elements, uncorrected ... -142.7 kJ per mole of atoms

POSCAR file:
```
KLa3Pm2Te6
1.0
9.977 -2.282 0.000
9.977 2.282 0.000
-2.039 0.000 8.989
K La Pm Te
1 3 2 6
direct
0.000 0.000 0.000
0.000 0.000 0.500
0.337 0.337 0.172
0.663 0.663 0.828
0.330 0.330 0.655
0.670 0.670 0.345
0.167 0.167 0.582
0.171 0.171 0.092
0.495 0.495 0.740
0.505 0.505 0.260
0.829 0.829 0.908
0.833 0.833 0.418
```

***

# KLaPr

An optimized crystal structure of KLaPr (GGA-PBE, the Alexandria database).

## Properties
Electronic total energy ... -3.45 eV/atom
Density of states at the Fermi level ... 8.0 states/eV per cell
Magnetization ... 0.000 μB per atom
ΔE_f ... 0.155 eV per atom

POSCAR file:
```
KLaPr
1.0
3.337 -1.924 0.000
3.337 1.924 0.000
-2.551 0.000 20.468
K La Pr
2 2 2
direct
0.000 0.000 0.000
0.640 0.640 0.795
0.123 0.123 0.319
0.513 0.513 0.475
0.235 0.235 0.616
0.402 0.402 0.178
```

***

# K3La2PrS6

An optimized crystal structure of K3La2PrS6 (GGA-PBE, the Alexandria database).

## Properties
Electronic total energy ... -5.45 eV/atom
Density of states at the Fermi level ... 0.0 states/eV per cell
Magnetization ... 0.000 μB per atom
Energy relative to the elements, uncorrected ... -182.8 kJ per mole of atoms

POSCAR file:
```
K3La2PrS6
1.0
9.617 -2.137 0.000
9.617 2.137 0.000
-2.491 0.000 8.521
K La Pr S
3 2 1 6
direct
0.000 0.000 0.000
0.333 0.333 0.667
0.667 0.667 0.333
0.334 0.334 0.168
0.666 0.666 0.832
0.000 0.000 0.500
0.156 0.156 0.605
0.176 0.176 0.060
0.492 0.492 0.275
0.508 0.508 0.725
0.824 0.824 0.940
0.844 0.844 0.395
```

***

# KLa2PrS4

An optimized crystal structure of KLa2PrS4 (GGA-PBE, the Alexandria database).

## Properties
Electronic total energy ... -5.99 eV/atom
Density of states at the Fermi level ... 2.9 states/eV per cell
Magnetization ... 0.000 μB per atom
Energy relative to the elements, uncorrected ... -189.0 kJ per mole of atoms

POSCAR file:
```
KLa2PrS4
1.0
7.247 0.000 0.000
0.000 4.177 0.000
-2.409 0.000 6.939
K La Pr S
1 2 1 4
direct
0.000 0.000 0.000
0.500 0.000 0.500
0.500 0.500 0.000
0.000 0.500 0.500
0.254 0.000 0.745
0.264 0.500 0.265
0.736 0.500 0.735
0.746 0.000 0.255
```

***

# K4LaPr3Se8

An optimized crystal structure of K4LaPr3Se8 (GGA-PBE, the Alexandria database).

## Properties
Electronic total energy ... -4.99 eV/atom
Density of states at the Fermi level ... 0.0 states/eV per cell
Magnetization ... 0.000 μB per atom
Energy relative to the elements, uncorrected ... -170.8 kJ per mole of atoms

POSCAR file:
```
K4LaPr3Se8
1.0
4.397 2.538 7.707
-4.397 2.538 7.707
0.000 -5.077 7.707
K La Pr Se
4 1 3 8
direct
0.000 0.000 0.000
0.000 0.500 0.500
0.500 0.000 0.500
0.500 0.500 0.000
0.500 0.500 0.500
0.000 0.000 0.500
0.000 0.500 0.000
0.500 0.000 0.000
0.236 0.738 0.738
0.237 0.237 0.237
0.262 0.262 0.764
0.262 0.764 0.262
0.738 0.236 0.738
0.738 0.738 0.236
0.763 0.763 0.763
0.764 0.262 0.262
```

***

# KLa2PrSe4

An optimized crystal structure of KLa2PrSe4 (GGA-PBE, the Alexandria database).

## Properties
Electronic total energy ... -5.55 eV/atom
Density of states at the Fermi level ... 3.0 states/eV per cell
Magnetization ... 0.000 μB per atom
Energy relative to the elements, uncorrected ... -177.3 kJ per mole of atoms

POSCAR file:
```
KLa2PrSe4
1.0
7.527 0.000 0.000
0.000 4.332 0.000
-2.491 0.000 7.207
K La Pr Se
1 2 1 4
direct
0.000 0.000 0.000
0.500 0.000 0.500
0.500 0.500 0.000
0.000 0.500 0.500
0.253 0.000 0.745
0.262 0.500 0.263
0.738 0.500 0.737
0.747 0.000 0.255
```

***

# KLa3Pr2Se6

An optimized crystal structure of KLa3Pr2Se6 (GGA-PBE, the Alexandria database).

## Properties
Electronic total energy ... -5.73 eV/atom
Density of states at the Fermi level ... 4.4 states/eV per cell
Magnetization ... 0.000 μB per atom
Energy relative to the elements, uncorrected ... -180.5 kJ per mole of atoms

POSCAR file:
```
KLa3Pr2Se6
1.0
9.447 -2.160 0.000
9.447 2.160 0.000
-1.925 0.000 8.493
K La Pr Se
1 3 2 6
direct
0.000 0.000 0.000
0.000 0.000 0.500
0.336 0.336 0.172
0.664 0.664 0.828
0.329 0.329 0.655
0.671 0.671 0.345
0.165 0.165 0.585
0.171 0.171 0.087
0.497 0.497 0.737
0.503 0.503 0.263
0.829 0.829 0.913
0.835 0.835 0.415
```

***

# KLa2PrTe4

An optimized crystal structure of KLa2PrTe4 (GGA-PBE, the Alexandria database).

## Properties
Electronic total energy ... -5.02 eV/atom
Density of states at the Fermi level ... 3.3 states/eV per cell
Magnetization ... 0.000 μB per atom
Energy relative to the elements, uncorrected ... -142.6 kJ per mole of atoms

POSCAR file:
```
KLa2PrTe4
1.0
8.005 0.000 0.000
0.000 4.599 0.000
-2.636 0.000 7.668
K La Pr Te
1 2 1 4
direct
0.000 0.000 0.000
0.500 0.000 0.500
0.500 0.500 0.000
0.000 0.500 0.500
0.252 0.000 0.746
0.259 0.500 0.261
0.741 0.500 0.739
0.748 0.000 0.254
```

***

# K3LaPr2Te6

An optimized crystal structure of K3LaPr2Te6 (GGA-PBE, the Alexandria database).

## Properties
Electronic total energy ... -4.50 eV/atom
Magnetization ... 0.000 μB per atom
Energy relative to the elements, uncorrected ... -139.6 kJ per mole of atoms

POSCAR file:
```
K3LaPr2Te6
1.0
4.045 -7.006 0.000
4.045 7.006 0.000
-2.696 0.000 8.252
K La Pr Te
3 1 2 6
direct
0.000 0.000 0.000
0.334 0.666 0.000
0.666 0.334 0.000
0.500 0.500 0.500
0.167 0.833 0.500
0.833 0.167 0.500
0.093 0.428 0.284
0.237 0.237 0.716
0.428 0.093 0.284
0.572 0.907 0.716
0.763 0.763 0.284
0.907 0.572 0.716
```

***

# K2LaPrTe4

An optimized crystal structure of K2LaPrTe4 (GGA-PBE, the Alexandria database).

## Properties
Electronic total energy ... -4.52 eV/atom
Magnetization ... 0.000 μB per atom
Energy relative to the elements, uncorrected ... -140.8 kJ per mole of atoms

POSCAR file:
```
K2LaPrTe4
1.0
8.110 0.000 0.000
0.000 4.682 0.000
-2.702 0.000 8.244
K La Pr Te
2 1 1 4
direct
0.000 0.000 0.000
0.500 0.500 0.000
0.000 0.500 0.500
0.500 0.000 0.500
0.241 0.000 0.716
0.263 0.500 0.284
0.737 0.500 0.716
0.759 0.000 0.284
```

***

# KLaPr2Te4

An optimized crystal structure of KLaPr2Te4 (GGA-PBE, the Alexandria database).

## Properties
Electronic total energy ... -4.97 eV/atom
Density of states at the Fermi level ... 3.2 states/eV per cell
Magnetization ... 0.000 μB per atom
Energy relative to the elements, uncorrected ... -139.9 kJ per mole of atoms

POSCAR file:
```
KLaPr2Te4
1.0
7.996 0.000 0.000
0.000 4.566 0.000
-2.595 0.000 7.661
K La Pr Te
1 1 2 4
direct
0.000 0.000 0.000
0.500 0.500 0.000
0.000 0.500 0.500
0.500 0.000 0.500
0.253 0.000 0.744
0.261 0.500 0.262
0.739 0.500 0.738
0.747 0.000 0.256
```

***

# KLa3Pr2Te6

An optimized crystal structure of KLa3Pr2Te6 (GGA-PBE, the Alexandria database).

## Properties
Electronic total energy ... -5.19 eV/atom
Density of states at the Fermi level ... 5.2 states/eV per cell
Magnetization ... 0.000 μB per atom
Energy relative to the elements, uncorrected ... -144.3 kJ per mole of atoms

POSCAR file:
```
KLa3Pr2Te6
1.0
10.041 -2.294 0.000
10.041 2.294 0.000
-2.069 0.000 9.033
K La Pr Te
1 3 2 6
direct
0.000 0.000 0.000
0.000 0.000 0.500
0.337 0.337 0.172
0.663 0.663 0.828
0.329 0.329 0.655
0.671 0.671 0.345
0.165 0.165 0.584
0.171 0.171 0.088
0.496 0.496 0.739
0.504 0.504 0.261
0.829 0.829 0.912
0.835 0.835 0.416
```

***

# K3La2PrTe6

An optimized crystal structure of K3La2PrTe6 (GGA-PBE, the Alexandria database).

## Properties
Electronic total energy ... -4.54 eV/atom
Density of states at the Fermi level ... 0.0 states/eV per cell
Magnetization ... 0.000 μB per atom
Energy relative to the elements, uncorrected ... -142.1 kJ per mole of atoms

POSCAR file:
```
K3La2PrTe6
1.0
4.064 -7.038 0.000
4.064 7.038 0.000
-2.709 0.000 8.237
K La Pr Te
3 2 1 6
direct
0.000 0.000 0.000
0.333 0.667 0.000
0.667 0.333 0.000
0.167 0.833 0.500
0.833 0.167 0.500
0.500 0.500 0.500
0.097 0.428 0.284
0.241 0.241 0.716
0.428 0.097 0.284
0.572 0.903 0.716
0.759 0.759 0.284
0.903 0.572 0.716
```

***

# K2LaPt9

An optimized crystal structure of K2LaPt9 (GGA-PBE, the Alexandria database).

## Properties
Electronic total energy ... -5.58 eV/atom
Density of states at the Fermi level ... 7.5 states/eV per cell
Magnetization ... 0.000 μB per atom
ΔE_f ... -0.453 eV per atom

POSCAR file:
```
K2LaPt9
1.0
2.745 1.585 8.991
-2.745 1.585 8.991
0.000 -3.170 8.991
K La Pt
2 1 9
direct
0.145 0.145 0.145
0.855 0.855 0.855
0.000 0.000 0.000
0.082 0.581 0.581
0.332 0.332 0.332
0.419 0.419 0.918
0.419 0.918 0.419
0.500 0.500 0.500
0.581 0.082 0.581
0.581 0.581 0.082
0.668 0.668 0.668
0.918 0.419 0.419
```

***

# KLa2Pt

An optimized crystal structure of KLa2Pt (GGA-PBE, the Alexandria database).

## Properties
Electronic total energy ... -4.63 eV/atom
Energy above the lowest structure with this stoichiometry ... 0.1493 eV per atom
Density of states at the Fermi level ... 4.6 states/eV per cell
Magnetization ... 0.064 μB per atom
ΔE_f ... -0.381 eV per atom

POSCAR file:
```
KLa2Pt
1.0
4.246 0.000 0.000
0.000 4.064 0.000
-2.121 0.000 9.480
K La Pt
1 2 1
direct
0.000 0.000 0.000
0.319 0.500 0.640
0.679 0.000 0.361
0.170 0.500 0.342
```

***

# KLa2Pt

An optimized crystal structure of KLa2Pt (GGA-PBE, the Alexandria database).

## Properties
Electronic total energy ... -4.68 eV/atom
Energy above the lowest structure with this stoichiometry ... 0.0988 eV per atom
Density of states at the Fermi level ... 3.7 states/eV per cell
Magnetization ... 0.000 μB per atom
ΔE_f ... -0.432 eV per atom

POSCAR file:
```
KLa2Pt
1.0
2.625 -2.631 0.000
2.625 2.631 0.000
0.000 0.000 10.892
K La Pt
1 2 1
direct
0.000 0.000 0.000
0.500 0.500 0.346
0.500 0.500 0.654
0.000 0.000 0.500
```

***

# K2LaPt2

An optimized crystal structure of K2LaPt2 (GGA-PBE, the Alexandria database).

## Properties
Electronic total energy ... -4.15 eV/atom
Density of states at the Fermi level ... 3.4 states/eV per cell
Magnetization ... 0.130 μB per atom
ΔE_f ... -0.305 eV per atom

POSCAR file:
```
K2LaPt2
1.0
7.374 0.000 0.000
0.000 7.374 0.000
0.000 0.000 5.548
K La Pt
4 2 4
direct
0.161 0.339 0.000
0.339 0.839 0.000
0.661 0.161 0.000
0.839 0.661 0.000
0.000 0.000 0.500
0.500 0.500 0.500
0.128 0.628 0.500
0.372 0.128 0.500
0.628 0.872 0.500
0.872 0.372 0.500
```

***

# KLa2Pt

An optimized crystal structure of KLa2Pt (GGA-PBE, the Alexandria database).

## Properties
Electronic total energy ... -4.09 eV/atom
Energy above the lowest structure with this stoichiometry ... 0.6883 eV per atom
Density of states at the Fermi level ... 4.4 states/eV per cell
Magnetization ... 0.000 μB per atom
ΔE_f ... 0.158 eV per atom

POSCAR file:
```
KLa2Pt
1.0
3.473 -5.099 0.000
3.473 5.099 0.000
-1.490 0.000 3.358
K La Pt
1 2 1
direct
0.000 0.000 0.000
0.000 0.500 0.500
0.500 0.000 0.500
0.500 0.500 0.000
```

***

# KLaPt3

An optimized crystal structure of KLaPt3 (GGA-PBE, the Alexandria database).

## Properties
Electronic total energy ... -3.89 eV/atom
Energy above the lowest structure with this stoichiometry ... 0.5543 eV per atom
Density of states at the Fermi level ... 3.0 states/eV per cell
Magnetization ... 0.000 μB per atom
ΔE_f ... 0.937 eV per atom

POSCAR file:
```
KLaPt3
1.0
5.059 0.000 0.000
0.000 5.059 0.000
0.000 0.000 5.059
K La Pt
1 1 3
direct
0.000 0.000 0.000
0.500 0.500 0.500
0.000 0.000 0.500
0.000 0.500 0.000
0.500 0.000 0.000
```

***

# KLa2Pt

An optimized crystal structure of KLa2Pt (GGA-PBE, the Alexandria database).

## Properties
Electronic total energy ... -4.59 eV/atom
Energy above the lowest structure with this stoichiometry ... 0.1888 eV per atom
Density of states at the Fermi level ... 5.0 states/eV per cell
Magnetization ... 0.068 μB per atom
ΔE_f ... -0.342 eV per atom

POSCAR file:
```
KLa2Pt
1.0
4.125 0.000 0.000
0.000 4.125 0.000
0.000 0.000 9.904
K La Pt
1 2 1
direct
0.000 0.000 0.000
0.000 0.000 0.617
0.500 0.500 0.350
0.500 0.500 0.637
```